Record 1
Entry from Alexandria via LeMat-Bulk: Ga6Pb after structural relaxation (PBE-GGA).

Cell: 4.0289 4.0289 9.3939 Å, 90.00 90.00 90.00°
Closest atoms and distances in Å follow each position.
Fractional positions:
Ga 0.5000 0.0000 0.2369  8 Ga 2.85-3.00, 2 Pb 3.19
Ga 0.5000 0.0000 0.7631  8 Ga 2.85-3.00, 2 Pb 3.19
Ga 0.0000 0.0000 0.0000  12 Ga 2.85-3.00
Ga 0.0000 0.5000 0.7631  8 Ga 2.85-3.00, 2 Pb 3.19
Ga 0.0000 0.5000 0.2369  8 Ga 2.85-3.00, 2 Pb 3.19
Ga 0.5000 0.5000 0.0000  12 Ga 2.85-3.00
Pb 0.0000 0.0000 0.5000  8 Ga 3.19

## Properties
Formation energy from the elements in eV per atom: 0.054
Crystal system: tetragonal
Total DFT energy (no corrections) in eV for the cell shown: -21.49

---

Record 2
Entry from Alexandria via LeMat-Bulk: La2YPb after structural relaxation (PBE-GGA).

Cell: 11.4155 11.4155 11.4155 Å, 18.65 18.65 18.65°
Closest atoms and distances in Å follow each position.
Fractional positions:
La 0.0006 0.0006 0.0006  3 Y 3.63, 9 La 3.63-3.70
La 0.2466 0.2466 0.2466  3 Pb 3.48, 9 La 3.63-3.70
Pb 0.4983 0.4983 0.4983  3 Y 3.36, 3 La 3.48, 6 Pb 3.70
Y 0.7545 0.7545 0.7545  3 Pb 3.36, 3 La 3.63, 6 Y 3.70

## Properties
Formation energy from the elements in eV per atom: -0.167
Crystal system: trigonal
Total DFT energy (no corrections) in eV for the cell shown: -20.70

---

Record 3
Entry from Alexandria via LeMat-Bulk: NaCdSb2Mo after structural relaxation (PBE-GGA).

Cell: 5.2287 5.4493 5.2287 Å, 90.00 90.00 90.00°
Closest atoms and distances in Å follow each position.
Fractional positions:
Mo 0.0000 0.0000 0.0000  4 Sb 2.61, 2 Cd 2.72
Cd 0.0000 0.5000 0.0000  2 Mo 2.72
Sb 0.5000 0.0000 0.0000  2 Mo 2.61
Sb 0.0000 0.0000 0.5000  2 Mo 2.61
Na 0.5000 0.5000 0.5000  4 Cd 3.70, 8 Sb 3.78

## Properties
Crystal system: tetragonal
Total DFT energy (no corrections) in eV for the cell shown: -20.43

---

Record 4
Entry from Alexandria via LeMat-Bulk: Cs2HgI2 after structural relaxation (PBE-GGA).

Cell: 10.6795 10.6795 4.7383 Å, 90.00 90.00 90.00°
Closest atoms and distances in Å follow each position.
Fractional positions:
Hg 0.5000 0.5000 0.0000  4 Cs 4.10
Hg 0.0000 0.0000 0.0000  4 Cs 4.10
Cs 0.6448 0.1448 0.0000  6 I 3.85-3.97, 2 Hg 4.10
Cs 0.1448 0.3552 0.0000  6 I 3.85-3.97, 2 Hg 4.10
Cs 0.8552 0.6448 0.0000  6 I 3.85-3.97, 2 Hg 4.10
Cs 0.3552 0.8552 0.0000  6 I 3.85-3.97, 2 Hg 4.10
I 0.6539 0.8461 0.5000  6 Cs 3.85-3.97
I 0.8461 0.3461 0.5000  6 Cs 3.85-3.97
I 0.3461 0.1539 0.5000  6 Cs 3.85-3.97
I 0.1539 0.6539 0.5000  6 Cs 3.85-3.97

## Properties
Crystal system: tetragonal
Total DFT energy (no corrections) in eV for the cell shown: -21.98

---

Record 5
Entry from Alexandria via LeMat-Bulk: Na2LiCdCl6 after structural relaxation (PBE-GGA).

Cell: 6.0130 9.8579 9.8579 Å, 91.06 90.50 90.50°
Closest atoms and distances in Å follow each position.
Fractional positions:
Na 0.8860 0.6117 0.8512  5 Cl 2.67-2.97
Na 0.3860 0.8512 0.6117  5 Cl 2.67-2.97
Na 0.1140 0.3883 0.1488  5 Cl 2.67-2.97
Na 0.6140 0.1488 0.3883  5 Cl 2.67-2.97
Cl 0.0475 0.6724 0.1113  1 Li 2.39, 1 Cd 2.64
Cl 0.4525 0.8887 0.3276  1 Li 2.39, 1 Cd 2.64
Cl 0.9168 0.0417 0.1760  1 Li 2.47, 1 Cd 2.54
Cl 0.4168 0.1760 0.0417  1 Li 2.47, 1 Cd 2.54
Cl 0.3596 0.3722 0.3753  2 Na 2.67-2.70
Cl 0.0832 0.9583 0.8240  1 Li 2.47, 1 Cd 2.54
Cl 0.6404 0.6278 0.6247  2 Na 2.67-2.70
Cl 0.1404 0.6247 0.6278  2 Na 2.67-2.70
Cl 0.8596 0.3753 0.3722  2 Na 2.67-2.70
Cl 0.5475 0.1113 0.6724  1 Li 2.39, 1 Cd 2.64
Cl 0.5832 0.8240 0.9583  1 Li 2.47, 1 Cd 2.54
Cl 0.9525 0.3276 0.8887  1 Li 2.39, 1 Cd 2.64
Cd 0.2500 0.9097 0.0903  4 Cl 2.54-2.64
Cd 0.7500 0.0903 0.9097  4 Cl 2.54-2.64
Li 0.2500 0.1873 0.8127  4 Cl 2.39-2.47
Li 0.7500 0.8127 0.1873  4 Cl 2.39-2.47

## Properties
Crystal system: monoclinic
Total DFT energy (no corrections) in eV for the cell shown: -58.75

---

Record 6
Entry from Alexandria via LeMat-Bulk: Pm8Sn3Pb2 after structural relaxation (PBE-GGA).

Cell: 5.2996 10.6853 9.3759 Å, 124.76 90.00 90.00°
Closest atoms and distances in Å follow each position.
Fractional positions:
Pm 0.5000 0.3657 0.2467  3 Sn 3.21-3.27, 2 Pb 3.28-3.35
Pm 0.0000 0.8762 0.7524  4 Sn 3.26-3.40, 2 Pb 3.39
Pm 0.0000 0.6224 0.2446  2 Sn 3.16, 2 Pb 3.20
Pm 0.0000 0.3776 0.7554  2 Sn 3.16, 2 Pb 3.20
Pm 0.5000 0.8808 0.2466  3 Sn 3.21-3.27, 2 Pb 3.28-3.35
Pm 0.0000 0.1238 0.2476  4 Sn 3.26-3.40, 2 Pb 3.39
Pm 0.5000 0.1192 0.7534  3 Sn 3.21-3.27, 2 Pb 3.28-3.35
Pm 0.5000 0.6343 0.7533  3 Sn 3.21-3.27, 2 Pb 3.28-3.35
Sn 0.0000 0.2631 0.0000  8 Pm 3.16-3.40
Sn 0.0000 0.7369 0.0000  8 Pm 3.16-3.40
Sn 0.5000 0.0000 0.0000  8 Pm 3.21-3.26
Pb 0.5000 0.2612 0.5224  8 Pm 3.20-3.39
Pb 0.5000 0.7388 0.4776  8 Pm 3.20-3.39

## Properties
Formation energy from the elements in eV per atom: -0.456
Crystal system: orthorhombic
Total DFT energy (no corrections) in eV for the cell shown: -63.36

---

Record 7
Entry from Alexandria via LeMat-Bulk: Ca2Mn2Au after structural relaxation (PBE-GGA).

Cell: 6.6700 6.6700 4.6795 Å, 90.00 90.00 90.00°
Closest atoms and distances in Å follow each position.
Fractional positions:
Au 0.0000 0.0000 0.0000  4 Mn 2.71
Au 0.5000 0.5000 0.0000  4 Mn 2.71
Mn 0.8906 0.6094 0.0000  1 Mn 2.06
Mn 0.3906 0.8906 0.0000  1 Mn 2.06
Mn 0.1094 0.3906 0.0000  1 Mn 2.06
Mn 0.6094 0.1094 0.0000  1 Mn 2.06
Ca 0.8161 0.3161 0.5000  6 Mn 3.05-3.09, 4 Au 3.38
Ca 0.6839 0.8161 0.5000  6 Mn 3.05-3.09, 4 Au 3.38
Ca 0.1839 0.6839 0.5000  6 Mn 3.05-3.09, 4 Au 3.38
Ca 0.3161 0.1839 0.5000  6 Mn 3.05-3.09, 4 Au 3.38

## Properties
Formation energy from the elements in eV per atom: 0.192
Crystal system: tetragonal
Total DFT energy (no corrections) in eV for the cell shown: -49.32

---

Record 8
Entry from Alexandria via LeMat-Bulk: Pm3HoTm12 after structural relaxation (PBE-GGA).

Cell: 4.9767 4.9767 19.9242 Å, 90.00 90.00 90.00°
Closest atoms and distances in Å follow each position.
Fractional positions:
Tm 0.0000 0.5000 0.3744  8 Tm 3.52-3.53, 4 Pm 3.52-3.53
Tm 0.5000 0.5000 0.5000  4 Pm 3.52, 8 Tm 3.53
Tm 0.5000 0.0000 0.3744  8 Tm 3.52-3.53, 4 Pm 3.52-3.53
Tm 0.5000 0.0000 0.8766  2 Ho 3.50, 8 Tm 3.50-3.53, 2 Pm 3.53
Tm 0.0000 0.5000 0.6256  8 Tm 3.52-3.53, 4 Pm 3.52-3.53
Tm 0.5000 0.5000 0.0000  8 Tm 3.50, 4 Ho 3.52
Tm 0.0000 0.5000 0.8766  2 Ho 3.50, 8 Tm 3.50-3.53, 2 Pm 3.53
Tm 0.0000 0.5000 0.1234  2 Ho 3.50, 8 Tm 3.50-3.53, 2 Pm 3.53
Tm 0.5000 0.0000 0.6256  8 Tm 3.52-3.53, 4 Pm 3.52-3.53
Tm 0.5000 0.5000 0.2487  4 Pm 3.52, 8 Tm 3.53
Tm 0.5000 0.0000 0.1234  2 Ho 3.50, 8 Tm 3.50-3.53, 2 Pm 3.53
Tm 0.5000 0.5000 0.7513  4 Pm 3.52, 8 Tm 3.53
Ho 0.0000 0.0000 0.0000  12 Tm 3.50-3.52
Pm 0.0000 0.0000 0.5000  12 Tm 3.52-3.53
Pm 0.0000 0.0000 0.2493  12 Tm 3.52-3.53
Pm 0.0000 0.0000 0.7507  12 Tm 3.52-3.53

## Properties
Formation energy from the elements in eV per atom: 0.026
Crystal system: tetragonal
Total DFT energy (no corrections) in eV for the cell shown: -72.07